# 1
A plane-wave DFT calculation with PBE was carried out for crystalline MgMoAs2 at its relaxed geometry.

ΔE_f (eV per atom): 0.065

Unit cell a=4.494 b=4.494 c=3.320 alpha=90.00 beta=90.00 gamma=90.00
Space group P4/mmm (No. 123)
Asymmetric unit:
Mg  0.000  0.000  0.000
Mo  0.500  0.500  0.000
As  0.000  0.500  0.500

---

# 2
A plane-wave DFT calculation with PBE was carried out for crystalline MgMoAs2 at its relaxed geometry.

ΔE_f (eV per atom): 0.093

Unit cell a=3.486 b=5.156 c=8.093 alpha=90.00 beta=90.00 gamma=90.00
Space group Cmmm (No. 65)
Asymmetric unit:
Mg  0.000  0.000  0.000
Mo  0.000  0.000  0.500
As  0.000  0.500  0.268

---

# 3
A plane-wave DFT calculation with PBE was carried out for crystalline MgMoAs2 at its relaxed geometry.

ΔE_f (eV per atom): -0.198

Unit cell a=3.267 b=3.560 c=12.826 alpha=90.00 beta=90.00 gamma=90.00
Space group Imm2 (No. 44)
Asymmetric unit:
Mg  0.000  0.000  0.000
Mo  0.000  0.500  0.747
As  0.000  0.000  0.397
As  0.000  0.500  0.168

---

# 4
A plane-wave DFT calculation with PBE was carried out for crystalline MgMo3As at its relaxed geometry.

Energy above the most stable polymorph in this dataset (meV per atom): 0.0
ΔE_f (eV per atom): 0.995

Unit cell a=4.650 b=4.650 c=4.650 alpha=90.00 beta=90.00 gamma=90.00
Space group Pm-3m (No. 221)
Asymmetric unit:
Mg  0.000  0.000  0.000
Mo  0.000  0.500  0.500
As  0.500  0.500  0.500

---

# 5
A plane-wave DFT calculation with PBE was carried out for crystalline MgMoAs2 at its relaxed geometry.

ΔE_f (eV per atom): -0.171

Unit cell a=3.670 b=3.271 c=13.190 alpha=90.00 beta=90.00 gamma=90.00
Space group Amm2 (No. 38)
Asymmetric unit:
Mg  0.000  0.000  0.000
Mo  0.500  0.000  0.777
As  0.000  0.000  0.204
As  0.500  0.000  0.423

---

Values for final energy, eV/cell, ordered as above
-21.467; -42.708; -45.036; -33.761; -44.816